(1)
Computed, not measured: a geometry-optimized CdSb3Mo structure at the GGA-PBEsol level of DFT.

The structure in CIF format:
```
data_CdSb3Mo
_chemical_formula_sum 'Cd1 Sb3 Mo1'
_cell_length_a 5.195
_cell_length_b 5.195
_cell_length_c 5.195
_cell_angle_alpha 90.00
_cell_angle_beta 90.00
_cell_angle_gamma 90.00
_space_group_name_H-M_alt 'P m -3 m'
_space_group_IT_number 221
_space_group_name_Hall '-P 4 2 3'
loop_
_atom_site_label
_atom_site_type_symbol
_atom_site_fract_x
_atom_site_fract_y
_atom_site_fract_z
_atom_site_occupancy
Cd1 Cd 0.000 0.000 0.000 1
Sb1 Sb 0.000 0.500 0.500 1
Mo1 Mo 0.500 0.500 0.500 1
```

Calculated values
V, Å³ per atom: 28.04
Magnetization, μB/f.u.: 0.00
E_form (uncorrected), eV per atom: 0.488
E_tot, eV/f.u.: -24.2

(2)
Computed, not measured: a geometry-optimized Cd3SbMo structure at the GGA-PBEsol level of DFT.

The structure in CIF format:
```
data_Cd3SbMo
_chemical_formula_sum 'Cd3 Sb1 Mo1'
_cell_length_a 5.179
_cell_length_b 5.179
_cell_length_c 5.179
_cell_angle_alpha 90.00
_cell_angle_beta 90.00
_cell_angle_gamma 90.00
_space_group_name_H-M_alt 'P m -3 m'
_space_group_IT_number 221
_space_group_name_Hall '-P 4 2 3'
loop_
_atom_site_label
_atom_site_type_symbol
_atom_site_fract_x
_atom_site_fract_y
_atom_site_fract_z
_atom_site_occupancy
Cd1 Cd 0.000 0.000 0.500 1
Sb1 Sb 0.500 0.500 0.500 1
Mo1 Mo 0.000 0.000 0.000 1
```

Calculated values
V, Å³ per atom: 27.78
Magnetization, μB/f.u.: 0.47
E_form (uncorrected), eV per atom: 1.207
E_tot, eV/f.u.: -13.9

(3)
Computed, not measured: a geometry-optimized CdSb2TeMo structure at the GGA-PBEsol level of DFT.

The structure in CIF format:
```
data_CdSb2TeMo
_chemical_formula_sum 'Cd1 Sb2 Te1 Mo1'
_cell_length_a 5.316
_cell_length_b 5.316
_cell_length_c 5.457
_cell_angle_alpha 90.00
_cell_angle_beta 90.00
_cell_angle_gamma 90.00
_space_group_name_H-M_alt 'P 4/m m m'
_space_group_IT_number 123
_space_group_name_Hall '-P 4 2'
loop_
_atom_site_label
_atom_site_type_symbol
_atom_site_fract_x
_atom_site_fract_y
_atom_site_fract_z
_atom_site_occupancy
Cd1 Cd 0.000 0.000 0.000 1
Sb1 Sb 0.000 0.500 0.000 1
Te1 Te 0.000 0.000 0.500 1
Mo1 Mo 0.500 0.500 0.500 1
```

Calculated values
V, Å³ per atom: 30.84
Magnetization, μB/f.u.: 3.50
E_form (uncorrected), eV per atom: 1.469
E_tot, eV/f.u.: -18.3

(4)
Computed, not measured: a geometry-optimized ScCd2Mo structure at the GGA-PBEsol level of DFT.

The structure in CIF format:
```
data_ScCd2Mo
_chemical_formula_sum 'Sc1 Cd2 Mo1'
_cell_length_a 4.169
_cell_length_b 4.169
_cell_length_c 4.224
_cell_angle_alpha 90.00
_cell_angle_beta 90.00
_cell_angle_gamma 90.00
_space_group_name_H-M_alt 'P 4/m m m'
_space_group_IT_number 123
_space_group_name_Hall '-P 4 2'
loop_
_atom_site_label
_atom_site_type_symbol
_atom_site_fract_x
_atom_site_fract_y
_atom_site_fract_z
_atom_site_occupancy
Sc1 Sc 0.000 0.000 0.000 1
Cd1 Cd 0.000 0.500 0.500 1
Mo1 Mo 0.500 0.500 0.000 1
```

Calculated values
V, Å³ per atom: 18.35
Magnetization, μB/f.u.: 0.00
E_tot, eV/f.u.: -20.3
Distance to the lowest polymorph of the same formula, eV/atom: 0.000

(5)
Computed, not measured: a geometry-optimized ScCd2Mo structure at the GGA-PBEsol level of DFT.

The structure in CIF format:
```
data_ScCd2Mo
_chemical_formula_sum 'Sc2 Cd4 Mo2'
_cell_length_a 10.250
_cell_length_b 2.885
_cell_length_c 5.078
_cell_angle_alpha 90.00
_cell_angle_beta 98.67
_cell_angle_gamma 90.00
_space_group_name_H-M_alt 'C 1 2/m 1'
_space_group_IT_number 12
loop_
_space_group_symop_operation_xyz
'x,y,z'
'-x,-y,-z'
'-x,y,-z'
'x,-y,z'
'x+1/2,y+1/2,z'
'-x+1/2,-y+1/2,-z'
'-x+1/2,y+1/2,-z'
'x+1/2,-y+1/2,z'
loop_
_atom_site_label
_atom_site_type_symbol
_atom_site_fract_x
_atom_site_fract_y
_atom_site_fract_z
_atom_site_occupancy
Sc1 Sc 0.000 0.000 0.000 1
Cd1 Cd 0.245 0.000 0.741 1
Mo1 Mo 0.000 0.500 0.500 1
```

Calculated values
V, Å³ per atom: 18.55
Magnetization, μB/f.u.: 0.00
E_tot, eV/f.u.: -20.0
Distance to the lowest polymorph of the same formula, eV/atom: 0.070

(6)
Computed, not measured: a geometry-optimized Sc2CdMo structure at the GGA-PBEsol level of DFT.

The structure in CIF format:
```
data_Sc2CdMo
_chemical_formula_sum 'Sc2 Cd1 Mo1'
_cell_length_a 2.914
_cell_length_b 2.914
_cell_length_c 9.021
_cell_angle_alpha 90.00
_cell_angle_beta 90.00
_cell_angle_gamma 90.00
_space_group_name_H-M_alt 'P 4/m m m'
_space_group_IT_number 123
_space_group_name_Hall '-P 4 2'
loop_
_atom_site_label
_atom_site_type_symbol
_atom_site_fract_x
_atom_site_fract_y
_atom_site_fract_z
_atom_site_occupancy
Sc1 Sc 0.000 0.000 0.236 1
Cd1 Cd 0.500 0.500 0.500 1
Mo1 Mo 0.500 0.500 0.000 1
```

Calculated values
V, Å³ per atom: 19.15
Magnetization, μB/f.u.: 0.00
E_tot, eV/f.u.: -26.2

(7)
Computed, not measured: a geometry-optimized Sc2CdMo structure at the GGA-PBEsol level of DFT.

The structure in CIF format:
```
data_Sc2CdMo
_chemical_formula_sum 'Sc2 Cd1 Mo1'
_cell_length_a 3.305
_cell_length_b 3.305
_cell_length_c 7.100
_cell_angle_alpha 90.00
_cell_angle_beta 90.00
_cell_angle_gamma 90.00
_space_group_name_H-M_alt 'P 4/m m m'
_space_group_IT_number 123
_space_group_name_Hall '-P 4 2'
loop_
_atom_site_label
_atom_site_type_symbol
_atom_site_fract_x
_atom_site_fract_y
_atom_site_fract_z
_atom_site_occupancy
Sc1 Sc 0.000 0.000 0.220 1
Cd1 Cd 0.500 0.500 0.500 1
Mo1 Mo 0.500 0.500 0.000 1
```

Calculated values
V, Å³ per atom: 19.39
Magnetization, μB/f.u.: 0.00
E_tot, eV/f.u.: -26.4

(8)
Computed, not measured: a geometry-optimized Cd2MoSe structure at the GGA-PBEsol level of DFT.

The structure in CIF format:
```
data_Cd2MoSe
_chemical_formula_sum 'Cd8 Mo4 Se4'
_cell_length_a 6.647
_cell_length_b 6.647
_cell_length_c 6.647
_cell_angle_alpha 90.00
_cell_angle_beta 90.00
_cell_angle_gamma 90.00
_space_group_name_H-M_alt 'F -4 3 m'
_space_group_IT_number 216
_space_group_name_Hall 'F -4 2 3'
loop_
_atom_site_label
_atom_site_type_symbol
_atom_site_fract_x
_atom_site_fract_y
_atom_site_fract_z
_atom_site_occupancy
Cd1 Cd 0.000 0.000 0.000 1
Cd2 Cd 0.250 0.250 0.250 1
Mo1 Mo 0.250 0.250 0.750 1
Se1 Se 0.000 0.000 0.500 1
```

Calculated values
V, Å³ per atom: 18.36
Magnetization, μB/f.u.: 1.03
E_form (uncorrected), eV per atom: 0.575
E_tot, eV/f.u.: -15.7
Distance to the lowest polymorph of the same formula, eV/atom: 0.333

(9)
Computed, not measured: a geometry-optimized Cd2MoSe structure at the GGA-PBEsol level of DFT.

The structure in CIF format:
```
data_Cd2MoSe
_chemical_formula_sum 'Cd4 Mo2 Se2'
_cell_length_a 4.346
_cell_length_b 3.198
_cell_length_c 10.857
_cell_angle_alpha 90.00
_cell_angle_beta 90.00
_cell_angle_gamma 90.00
_space_group_name_H-M_alt 'A m m 2'
_space_group_IT_number 38
loop_
_space_group_symop_operation_xyz
'x,y,z'
'-x,-y,z'
'-x,y,z'
'x,-y,z'
'x,y+1/2,z+1/2'
'-x,-y+1/2,z+1/2'
'-x,y+1/2,z+1/2'
'x,-y+1/2,z+1/2'
loop_
_atom_site_label
_atom_site_type_symbol
_atom_site_fract_x
_atom_site_fract_y
_atom_site_fract_z
_atom_site_occupancy
Cd1 Cd 0.000 0.000 0.000 1
Cd2 Cd 0.500 0.000 0.357 1
Mo1 Mo 0.000 0.000 0.738 1
Se1 Se 0.500 0.000 0.630 1
```

Calculated values
V, Å³ per atom: 18.86
Magnetization, μB/f.u.: 0.00
E_form (uncorrected), eV per atom: 0.242
E_tot, eV/f.u.: -17.0
Distance to the lowest polymorph of the same formula, eV/atom: 0.000

(10)
Computed, not measured: a geometry-optimized Cd2MoSe structure at the GGA-PBEsol level of DFT.

The structure in CIF format:
```
data_Cd2MoSe
_chemical_formula_sum 'Cd8 Mo4 Se4'
_cell_length_a 6.844
_cell_length_b 6.844
_cell_length_c 6.844
_cell_angle_alpha 90.00
_cell_angle_beta 90.00
_cell_angle_gamma 90.00
_space_group_name_H-M_alt 'F m -3 m'
_space_group_IT_number 225
_space_group_name_Hall '-F 4 2 3'
loop_
_atom_site_label
_atom_site_type_symbol
_atom_site_fract_x
_atom_site_fract_y
_atom_site_fract_z
_atom_site_occupancy
Cd1 Cd 0.250 0.250 0.250 1
Mo1 Mo 0.000 0.000 0.000 1
Se1 Se 0.000 0.000 0.500 1
```

Calculated values
V, Å³ per atom: 20.04
Magnetization, μB/f.u.: 3.00
E_form (uncorrected), eV per atom: 0.816
E_tot, eV/f.u.: -14.7
Distance to the lowest polymorph of the same formula, eV/atom: 0.574

(11)
Computed, not measured: a geometry-optimized Cd2MoSe structure at the GGA-PBEsol level of DFT.

The structure in CIF format:
```
data_Cd2MoSe
_chemical_formula_sum 'Cd4 Mo2 Se2'
_cell_length_a 3.816
_cell_length_b 3.816
_cell_length_c 9.976
_cell_angle_alpha 90.00
_cell_angle_beta 90.00
_cell_angle_gamma 90.00
_space_group_name_H-M_alt 'I 4/m m m'
_space_group_IT_number 139
_space_group_name_Hall '-I 4 2'
loop_
_atom_site_label
_atom_site_type_symbol
_atom_site_fract_x
_atom_site_fract_y
_atom_site_fract_z
_atom_site_occupancy
Cd1 Cd 0.000 0.500 0.250 1
Mo1 Mo 0.000 0.000 0.000 1
Se1 Se 0.000 0.000 0.500 1
```

Calculated values
V, Å³ per atom: 18.16
Magnetization, μB/f.u.: 0.17
E_form (uncorrected), eV per atom: 0.427
E_tot, eV/f.u.: -16.3
Distance to the lowest polymorph of the same formula, eV/atom: 0.185

(12)
Computed, not measured: a geometry-optimized CdMo6Se8 structure at the GGA-PBEsol level of DFT.

The structure in CIF format:
```
data_CdMo6Se8
_chemical_formula_sum 'Cd3 Mo18 Se24'
_cell_length_a 9.5611
_cell_length_b 9.5611
_cell_length_c 11.3472
_cell_angle_alpha 90.00
_cell_angle_beta 90.00
_cell_angle_gamma 120.00
_space_group_name_H-M_alt 'R -3'
_space_group_IT_number 148
_space_group_name_Hall '-R 3'
loop_
_atom_site_label
_atom_site_type_symbol
_atom_site_fract_x
_atom_site_fract_y
_atom_site_fract_z
_atom_site_occupancy
Cd1 Cd 0.0000 0.0000 0.0000 1
Mo1 Mo 0.0189 0.1713 0.4010 1
Se1 Se 0.0000 0.0000 0.2282 1
Se2 Se 0.0032 0.3779 0.2526 1
```

Calculated values
V, Å³ per atom: 19.96
Magnetization, μB/f.u.: 0.00
E_form (uncorrected), eV per atom: -0.520
E_tot, eV/f.u.: -110.4

Copy entry 11 word for word.
Computed, not measured: a geometry-optimized Cd2MoSe structure at the GGA-PBEsol level of DFT.

The structure in CIF format:
```
data_Cd2MoSe
_chemical_formula_sum 'Cd4 Mo2 Se2'
_cell_length_a 3.816
_cell_length_b 3.816
_cell_length_c 9.976
_cell_angle_alpha 90.00
_cell_angle_beta 90.00
_cell_angle_gamma 90.00
_space_group_name_H-M_alt 'I 4/m m m'
_space_group_IT_number 139
_space_group_name_Hall '-I 4 2'
loop_
_atom_site_label
_atom_site_type_symbol
_atom_site_fract_x
_atom_site_fract_y
_atom_site_fract_z
_atom_site_occupancy
Cd1 Cd 0.000 0.500 0.250 1
Mo1 Mo 0.000 0.000 0.000 1
Se1 Se 0.000 0.000 0.500 1
```

Calculated values
V, Å³ per atom: 18.16
Magnetization, μB/f.u.: 0.17
E_form (uncorrected), eV per atom: 0.427
E_tot, eV/f.u.: -16.3
Distance to the lowest polymorph of the same formula, eV/atom: 0.185

What did the twelfth record say?
Computed, not measured: a geometry-optimized CdMo6Se8 structure at the GGA-PBEsol level of DFT.

The structure in CIF format:
```
data_CdMo6Se8
_chemical_formula_sum 'Cd3 Mo18 Se24'
_cell_length_a 9.5611
_cell_length_b 9.5611
_cell_length_c 11.3472
_cell_angle_alpha 90.00
_cell_angle_beta 90.00
_cell_angle_gamma 120.00
_space_group_name_H-M_alt 'R -3'
_space_group_IT_number 148
_space_group_name_Hall '-R 3'
loop_
_atom_site_label
_atom_site_type_symbol
_atom_site_fract_x
_atom_site_fract_y
_atom_site_fract_z
_atom_site_occupancy
Cd1 Cd 0.0000 0.0000 0.0000 1
Mo1 Mo 0.0189 0.1713 0.4010 1
Se1 Se 0.0000 0.0000 0.2282 1
Se2 Se 0.0032 0.3779 0.2526 1
```

Calculated values
V, Å³ per atom: 19.96
Magnetization, μB/f.u.: 0.00
E_form (uncorrected), eV per atom: -0.520
E_tot, eV/f.u.: -110.4

> Which of these has the highest E_tot?

Cd3SbMo